The following is a PBE calculation of a relaxed Tm8Ni2Pd crystal, from Alexandria via LeMat-Bulk.

```
11
Lattice="8.5293 -2.4674 0.0000 8.5293 2.4674 0.0000 -1.7879 0.0000 6.3045" Properties=species:S:1:pos:R:3 pbc="T T T"
Tm 0.1106 0.0000 1.7914
Tm 1.9610 0.0000 5.2473
Tm 4.6544 0.0000 3.2608
Tm 6.8734 0.0000 0.2503
Tm 8.3974 0.0000 6.0542
Tm 10.6164 0.0000 3.0438
Tm 13.3097 0.0000 1.0573
Tm 15.1602 0.0000 4.5132
Ni 2.7581 0.0000 1.4186
Ni 12.5126 0.0000 4.8859
Pd 7.6354 0.0000 3.1523
```

Summary:
The calculated total energy comes out at -5.106 eV per atom. Its density of states at the Fermi level is 1.127 states/eV per atom. Its symmetry is C2/m. Its density is 9.858 g/cm³. The excess energy over the best structure of this formula in the dataset comes out at 0.000 eV/atom.



The following is a PBE calculation of a relaxed Tm3NiPd crystal, from Alexandria via LeMat-Bulk.

```
10
Lattice="4.8991 -3.1609 0.0000 4.8991 3.1609 0.0000 -3.3247 0.0000 7.2978" Properties=species:S:1:pos:R:3 pbc="T T T"
Tm -0.6831 0.0000 1.6768
Tm 0.7398 0.0000 4.8095
Tm 2.6027 0.0000 1.0890
Tm 3.8708 0.0000 6.2088
Tm 5.7337 0.0000 2.4883
Tm 7.1566 0.0000 5.6210
Ni 4.8991 1.2088 0.0000
Ni 4.8991 -1.2088 0.0000
Pd 3.2368 1.3941 3.6489
Pd 3.2368 -1.3941 3.6489
```

Summary:
The calculated total energy comes out at -5.410 eV per atom. Its density of states at the Fermi level is 0.833 states/eV per atom. Its symmetry is C2/m. Its density is 9.873 g/cm³.



The following is a PBE calculation of a relaxed Tm4NiPd crystal, from Alexandria via LeMat-Bulk.

```
12
Lattice="-3.3399 3.3399 6.4102 3.3399 -3.3399 6.4102 3.3399 3.3399 -6.4102" Properties=species:S:1:pos:R:3 pbc="T T T"
Tm 4.5452 1.2053 -1.7064
Tm 1.2053 2.1346 -1.7064
Tm 4.5452 1.2053 1.7064
Tm 1.2053 2.1346 1.7064
Tm 2.1346 1.2053 4.7038
Tm -1.2053 2.1346 4.7038
Tm 2.1346 1.2053 8.1166
Tm -1.2053 2.1346 8.1166
Ni 0.0000 0.0000 3.2051
Ni 0.0000 0.0000 9.6153
Pd 0.0000 0.0000 0.0000
Pd 0.0000 0.0000 6.4102
```

Summary:
The calculated total energy comes out at -5.219 eV per atom. Its density of states at the Fermi level is 0.924 states/eV per atom. Its symmetry is I4/mcm. Its density is 9.763 g/cm³. The excess energy over the best structure of this formula in the dataset comes out at 0.000 eV/atom.



The following is a PBE calculation of a relaxed Tm2NiPd crystal, from Alexandria via LeMat-Bulk.

```
4
Lattice="1.9576 1.1302 6.5554 -1.9576 1.1302 6.5554 0.0000 -2.2605 6.5554" Properties=species:S:1:pos:R:3 pbc="T T T"
Tm 0.0000 0.0000 4.8006
Tm 0.0000 0.0000 14.8657
Ni 0.0000 0.0000 9.8332
Pd 0.0000 0.0000 0.0000
```

Summary:
The calculated total energy comes out at -5.482 eV per atom. Its density of states at the Fermi level is 0.654 states/eV per atom. Its symmetry is R-3m. Its density is 9.597 g/cm³. The excess energy over the best structure of this formula in the dataset comes out at 0.210 eV/atom.



Ordered spin magnetization results: 0.00 0.00 0.00 0.00; unit μB/atom.
Ordered formation energy results: -331 -532 -409 -502; unit meV/atom.